BaGa2Pd | GGA-PBE | relaxed

Cell lengths 7.147, 7.147, 7.147 Å; angles 90.00, 90.00, 90.00 degrees
Atoms (fractional coordinates):
Ba  0.000  0.000  0.000
Ba  0.000  0.500  0.500
Ba  0.500  0.000  0.500
Ba  0.500  0.500  0.000
Ga  0.250  0.250  0.250
Ga  0.250  0.250  0.750
Ga  0.250  0.750  0.250
Ga  0.250  0.750  0.750
Ga  0.750  0.250  0.250
Ga  0.750  0.250  0.750
Ga  0.750  0.750  0.250
Ga  0.750  0.750  0.750
Pd  0.000  0.000  0.500
Pd  0.000  0.500  0.000
Pd  0.500  0.000  0.000
Pd  0.500  0.500  0.500

## Properties
As for the energy relative to the elements: -85 kJ/mol of formula units. As for the mass density: 7.0 g cm⁻³. The space group is Fm-3m.

LiPaSi2 | GGA-PBE | relaxed

Cell lengths 4.245, 4.245, 4.042 Å; angles 90.00, 90.00, 90.00 degrees
Atoms (fractional coordinates):
Li  0.000  0.000  0.000
Pa  0.500  0.500  0.000
Si  0.000  0.500  0.500
Si  0.500  0.000  0.500

## Properties
As for the energy above the most stable polymorph in this dataset: 117 meV per atom. As for the mass density: 6.7 g cm⁻³. The uncorrected formation energy comes out at -0.287 eV/atom. The space group is P4/mmm.

Pr3Nd8Tm | GGA-PBE | relaxed

Cell lengths 8.575, 8.575, 8.575 Å; angles 117.48, 117.48, 94.42 degrees
Atoms (fractional coordinates):
Pr  0.000  0.000  0.000
Pr  0.250  0.750  0.500
Pr  0.750  0.250  0.500
Nd  0.129  0.129  0.752
Nd  0.245  0.738  0.000
Nd  0.262  0.262  0.508
Nd  0.377  0.377  0.248
Nd  0.623  0.871  0.000
Nd  0.738  0.245  0.000
Nd  0.755  0.755  0.492
Nd  0.871  0.623  0.000
Tm  0.500  0.500  0.000

## Properties
As for the energy relative to the elements: 625 kJ/mol of formula units. As for the mass density: 6.3 g cm⁻³. The space group is I-42m.

Ca3Ho2PuSe6 | GGA-PBE | relaxed

Cell lengths 7.152, 7.152, 7.230 Å; angles 99.49, 99.49, 120.03 degrees
Atoms (fractional coordinates):
Ca  0.000  0.000  0.000
Ca  0.335  0.665  0.000
Ca  0.665  0.335  0.000
Ho  0.167  0.833  0.500
Ho  0.833  0.167  0.500
Pu  0.500  0.500  0.500
Se  0.079  0.418  0.254
Se  0.242  0.242  0.745
Se  0.418  0.079  0.254
Se  0.582  0.921  0.746
Se  0.758  0.758  0.255
Se  0.921  0.582  0.746

## Properties
As for the mass density: 6.4 g cm⁻³. The uncorrected formation energy comes out at -1.819 eV/atom. The space group is C2/m.

Be2ZnOs | GGA-PBE | relaxed

Cell lengths 2.612, 4.360, 9.206 Å; angles 90.00, 90.00, 90.00 degrees
Atoms (fractional coordinates):
Be  0.000  0.000  0.248
Be  0.000  0.000  0.752
Be  0.500  0.500  0.252
Be  0.500  0.500  0.748
Zn  0.000  0.000  0.500
Zn  0.500  0.500  0.000
Os  0.000  0.000  0.000
Os  0.500  0.500  0.500

## Properties
As for the energy relative to the elements: 294 kJ/mol of formula units. As for the mass density: 8.7 g cm⁻³. The space group is Immm.

AcHo2Pd | GGA-PBE | relaxed

Cell lengths 3.614, 3.614, 8.949 Å; angles 90.00, 90.00, 90.00 degrees
Atoms (fractional coordinates):
Ac  0.000  0.000  0.000
Ho  0.500  0.500  0.317
Ho  0.500  0.500  0.683
Pd  0.000  0.000  0.500

## Properties
As for the energy above the most stable polymorph in this dataset: 34 meV per atom. As for the energy relative to the elements: -155 kJ/mol of formula units. As for the mass density: 9.4 g cm⁻³. The space group is P4/mmm.

Na3CeCd2S6 | GGA-PBE | relaxed

Cell lengths 6.753, 6.753, 7.160 Å; angles 98.97, 98.97, 120.14 degrees
Atoms (fractional coordinates):
Na  0.000  0.000  0.000
Na  0.331  0.669  0.000
Na  0.669  0.331  0.000
Ce  0.500  0.500  0.500
Cd  0.166  0.834  0.500
Cd  0.834  0.166  0.500
S  0.089  0.423  0.270
S  0.244  0.244  0.731
S  0.423  0.089  0.270
S  0.577  0.911  0.730
S  0.756  0.756  0.269
S  0.911  0.577  0.730

## Properties
As for the mass density: 3.9 g cm⁻³. The uncorrected formation energy comes out at -1.027 eV/atom. The space group is C2/m.

Tc2GeOs | GGA-PBE | relaxed

Cell lengths 2.798, 2.798, 25.923 Å; angles 90.00, 90.00, 120.00 degrees
Atoms (fractional coordinates):
Tc  0.000  0.000  0.250
Tc  0.000  0.000  0.750
Tc  0.333  0.667  0.416
Tc  0.333  0.667  0.917
Tc  0.667  0.333  0.083
Tc  0.667  0.333  0.584
Ge  0.000  0.000  0.000
Ge  0.333  0.667  0.667
Ge  0.667  0.333  0.333
Os  0.000  0.000  0.500
Os  0.333  0.667  0.167
Os  0.667  0.333  0.833

## Properties
As for the energy relative to the elements: 28 kJ/mol of formula units. As for the mass density: 13.0 g cm⁻³. The space group is R-3m.

PmLuNiOs | GGA-PBE | relaxed

Cell lengths 6.813, 6.813, 6.813 Å; angles 90.00, 90.00, 90.00 degrees
Atoms (fractional coordinates):
Pm  0.000  0.000  0.000
Pm  0.000  0.500  0.500
Pm  0.500  0.000  0.500
Pm  0.500  0.500  0.000
Lu  0.000  0.000  0.500
Lu  0.000  0.500  0.000
Lu  0.500  0.000  0.000
Lu  0.500  0.500  0.500
Ni  0.250  0.250  0.750
Ni  0.250  0.750  0.250
Ni  0.750  0.250  0.250
Ni  0.750  0.750  0.750
Os  0.250  0.250  0.250
Os  0.250  0.750  0.750
Os  0.750  0.250  0.750
Os  0.750  0.750  0.250

## Properties
As for the energy relative to the elements: -93 kJ/mol of formula units. As for the mass density: 11.9 g cm⁻³. The space group is F-43m.

HfIrPb3 | GGA-PBE | relaxed

Cell lengths 5.536, 5.536, 5.536 Å; angles 90.00, 90.00, 90.00 degrees
Atoms (fractional coordinates):
Hf  0.000  0.000  0.000
Ir  0.500  0.500  0.500
Pb  0.000  0.000  0.500
Pb  0.000  0.500  0.000
Pb  0.500  0.000  0.000

## Properties
As for the energy relative to the elements: 660 kJ/mol of formula units. As for the mass density: 9.7 g cm⁻³. The space group is Pm-3m.

Pm7P4Se4 | GGA-PBE | relaxed

Cell lengths 10.942, 10.942, 10.942 Å; angles 96.65, 96.65, 140.22 degrees
Atoms (fractional coordinates):
Pm  0.000  0.278  0.278
Pm  0.000  0.722  0.722
Pm  0.139  0.500  0.639
Pm  0.245  0.245  0.000
Pm  0.278  0.000  0.278
Pm  0.291  0.291  0.582
Pm  0.291  0.709  0.000
Pm  0.500  0.139  0.639
Pm  0.500  0.861  0.361
Pm  0.709  0.291  0.000
Pm  0.709  0.709  0.418
Pm  0.722  0.000  0.722
Pm  0.755  0.755  0.000
Pm  0.861  0.500  0.361
P  0.103  0.603  0.206
P  0.103  0.897  0.500
P  0.397  0.603  0.500
P  0.397  0.897  0.794
P  0.603  0.103  0.206
P  0.603  0.397  0.500
P  0.897  0.103  0.500
P  0.897  0.397  0.794
Se  0.122  0.122  0.244
Se  0.122  0.878  0.000
Se  0.334  0.500  0.834
Se  0.500  0.334  0.834
Se  0.500  0.666  0.166
Se  0.666  0.500  0.166
Se  0.878  0.122  0.000
Se  0.878  0.878  0.756

## Properties
As for the mass density: 6.1 g cm⁻³. The uncorrected formation energy comes out at -1.537 eV/atom. The space group is I4/mmm.

AgBi3Br | GGA-PBE | relaxed

Cell lengths 5.708, 5.708, 5.708 Å; angles 90.00, 90.00, 90.00 degrees
Atoms (fractional coordinates):
Ag  0.000  0.000  0.000
Bi  0.000  0.500  0.500
Bi  0.500  0.000  0.500
Bi  0.500  0.500  0.000
Br  0.500  0.500  0.500

## Properties
As for the energy above the most stable polymorph in this dataset: 427 meV per atom. As for the mass density: 7.3 g cm⁻³. The uncorrected formation energy comes out at 0.920 eV/atom. The space group is Pm-3m.

NbIrCI | GGA-PBE | relaxed

Cell lengths 3.633, 3.831, 8.138 Å; angles 77.48, 78.87, 90.00 degrees
Atoms (fractional coordinates):
Nb  0.000  0.000  0.000
Ir  0.555  0.589  0.874
C  0.565  0.104  0.849
I  0.853  0.864  0.340

## Properties
As for the energy above the most stable polymorph in this dataset: 87 meV per atom. As for the mass density: 6.5 g cm⁻³. The uncorrected formation energy comes out at 0.302 eV/atom. The space group is P1.

AcNiGe2 | GGA-PBE | relaxed

Cell lengths 8.726, 8.726, 8.917 Å; angles 90.00, 90.00, 150.35 degrees
Atoms (fractional coordinates):
Ac  0.000  0.000  0.000
Ac  0.000  0.000  0.500
Ac  0.207  0.793  0.750
Ac  0.793  0.207  0.250
Ni  0.353  0.647  0.504
Ni  0.353  0.647  0.996
Ni  0.647  0.353  0.004
Ni  0.647  0.353  0.496
Ge  0.190  0.810  0.096
Ge  0.190  0.810  0.404
Ge  0.416  0.584  0.750
Ge  0.427  0.573  0.250
Ge  0.573  0.427  0.750
Ge  0.584  0.416  0.250
Ge  0.810  0.190  0.596
Ge  0.810  0.190  0.904

## Properties
As for the energy above the most stable polymorph in this dataset: 10 meV per atom. As for the energy relative to the elements: -231 kJ/mol of formula units. As for the mass density: 8.5 g cm⁻³. The space group is Cmcm.

Rb2HfMnAu | GGA-PBE | relaxed

Cell lengths 6.436, 6.436, 5.315 Å; angles 90.00, 90.00, 90.00 degrees
Atoms (fractional coordinates):
Rb  0.000  0.500  0.000
Rb  0.500  0.000  0.000
Hf  0.000  0.000  0.500
Mn  0.500  0.500  0.500
Au  0.000  0.000  0.000

## Properties
As for the energy relative to the elements: 510 kJ/mol of formula units. As for the mass density: 4.5 g cm⁻³. The space group is P4/mmm.

Mg2Mn2Rh | GGA-PBE | relaxed

Cell lengths 6.102, 6.102, 4.329 Å; angles 90.00, 90.00, 90.00 degrees
Atoms (fractional coordinates):
Mg  0.182  0.318  0.000
Mg  0.318  0.818  0.000
Mg  0.682  0.182  0.000
Mg  0.818  0.682  0.000
Mn  0.116  0.616  0.500
Mn  0.384  0.116  0.500
Mn  0.616  0.884  0.500
Mn  0.884  0.384  0.500
Rh  0.000  0.000  0.500
Rh  0.500  0.500  0.500

## Properties
As for the energy relative to the elements: 107 kJ/mol of formula units. As for the mass density: 5.4 g cm⁻³. The space group is P4/mbm.

SrMnFe2 | GGA-PBE | relaxed

Cell lengths 3.110, 5.035, 9.552 Å; angles 90.00, 90.00, 90.00 degrees
Atoms (fractional coordinates):
Sr  0.000  0.000  0.000
Sr  0.500  0.500  0.500
Mn  0.000  0.500  0.203
Mn  0.500  0.000  0.703
Fe  0.000  0.000  0.467
Fe  0.000  0.500  0.781
Fe  0.500  0.000  0.281
Fe  0.500  0.500  0.967

## Properties
As for the energy relative to the elements: 285 kJ/mol of formula units. As for the mass density: 5.6 g cm⁻³. The space group is Imm2.

NaBe2As | GGA-PBE | relaxed

Cell lengths 6.463, 6.463, 9.133 Å; angles 90.00, 90.00, 90.00 degrees
Atoms (fractional coordinates):
Na  0.000  0.000  0.000
Na  0.000  0.500  0.250
Na  0.500  0.000  0.750
Na  0.500  0.500  0.500
Be  0.132  0.250  0.625
Be  0.250  0.632  0.875
Be  0.250  0.868  0.375
Be  0.368  0.250  0.125
Be  0.632  0.750  0.125
Be  0.750  0.132  0.375
Be  0.750  0.368  0.875
Be  0.868  0.750  0.625
As  0.000  0.000  0.500
As  0.000  0.500  0.750
As  0.500  0.000  0.250
As  0.500  0.500  0.000

## Properties
As for the energy relative to the elements: 201 kJ/mol of formula units. As for the mass density: 2.0 g cm⁻³. The space group is I-42d.

Rb2ZnTcF6 | GGA-PBE | relaxed

Cell lengths 6.001, 6.001, 6.001 Å; angles 60.00, 60.00, 60.00 degrees
Atoms (fractional coordinates):
Rb  0.250  0.250  0.250
Rb  0.750  0.750  0.750
Zn  0.000  0.000  0.000
Tc  0.500  0.500  0.500
F  0.244  0.244  0.756
F  0.244  0.756  0.244
F  0.244  0.756  0.756
F  0.756  0.244  0.244
F  0.756  0.244  0.756
F  0.756  0.756  0.244

## Properties
As for the mass density: 4.9 g cm⁻³. The uncorrected formation energy comes out at -2.106 eV/atom. The space group is Fm-3m.

AlSbRh2 | GGA-PBE | relaxed

Cell lengths 6.416, 6.416, 6.416 Å; angles 90.00, 90.00, 90.00 degrees
Atoms (fractional coordinates):
Al  0.000  0.000  0.000
Al  0.000  0.500  0.500
Al  0.500  0.000  0.500
Al  0.500  0.500  0.000
Sb  0.250  0.250  0.750
Sb  0.250  0.750  0.250
Sb  0.750  0.250  0.250
Sb  0.750  0.750  0.750
Rh  0.000  0.000  0.500
Rh  0.000  0.500  0.000
Rh  0.250  0.250  0.250
Rh  0.250  0.750  0.750
Rh  0.500  0.000  0.000
Rh  0.500  0.500  0.500
Rh  0.750  0.250  0.750
Rh  0.750  0.750  0.250

## Properties
As for the mass density: 8.9 g cm⁻³. The uncorrected formation energy comes out at -0.105 eV/atom. The space group is F-43m.